# 1
This record from Alexandria describes AcZnGa2 after structural relaxation. The functional is GGA-PBE.

Density of states at the Fermi level, states/eV/f.u.: 3.8
ρ, g/cm3: 7.28
Distance to the lowest polymorph of the same formula, eV/atom: 0.299
Total magnetic moment, μB/f.u.: 0.0
DFT total energy, eV/f.u.: -12.34
SG: P4/mmm

Geometry as CIF:
```
data_AcZnGa2
_cell_length_a 4.619
_cell_length_b 4.619
_cell_length_c 4.620
_cell_angle_alpha 90.00
_cell_angle_beta 90.00
_cell_angle_gamma 90.00
_space_group_name_H-M_alt 'P 1'
_space_group_IT_number 1
loop_
_space_group_symop_operation_xyz
'x,y,z'
loop_
_atom_site_label
_atom_site_type_symbol
_atom_site_fract_x
_atom_site_fract_y
_atom_site_fract_z
Ac1 Ac 0.000 0.000 0.000
Zn1 Zn 0.500 0.500 0.000
Ga1 Ga 0.000 0.500 0.500
Ga2 Ga 0.500 0.000 0.500
```

# 2
This record from Alexandria describes Zr5Pb4 after structural relaxation. The functional is GGA-PBE.

Density of states at the Fermi level, states/eV/f.u.: 4.6
ρ, g/cm3: 10.04
Distance to the lowest polymorph of the same formula, eV/atom: 0.000
Total magnetic moment, μB/f.u.: 0.0
DFT total energy, eV/f.u.: -59.95
SG: P6_3/mcm

Geometry as CIF:
```
data_Zr5Pb4
_cell_length_a 8.989
_cell_length_b 8.989
_cell_length_c 6.074
_cell_angle_alpha 90.00
_cell_angle_beta 90.00
_cell_angle_gamma 120.00
_space_group_name_H-M_alt 'P 1'
_space_group_IT_number 1
loop_
_space_group_symop_operation_xyz
'x,y,z'
loop_
_atom_site_label
_atom_site_type_symbol
_atom_site_fract_x
_atom_site_fract_y
_atom_site_fract_z
Zr1 Zr 0.000 0.283 0.250
Zr2 Zr 0.000 0.717 0.750
Zr3 Zr 0.283 0.000 0.250
Zr4 Zr 0.283 0.283 0.750
Zr5 Zr 0.333 0.667 0.000
Zr6 Zr 0.333 0.667 0.500
Zr7 Zr 0.667 0.333 0.000
Zr8 Zr 0.667 0.333 0.500
Zr9 Zr 0.717 0.000 0.750
Zr10 Zr 0.717 0.717 0.250
Pb1 Pb 0.000 0.000 0.000
Pb2 Pb 0.000 0.000 0.500
Pb3 Pb 0.000 0.384 0.750
Pb4 Pb 0.000 0.616 0.250
Pb5 Pb 0.384 0.000 0.750
Pb6 Pb 0.384 0.384 0.250
Pb7 Pb 0.616 0.000 0.250
Pb8 Pb 0.616 0.616 0.750
```

# 3
This record from Alexandria describes Ac4Pm3Ho after structural relaxation. The functional is GGA-PBE.

Density of states at the Fermi level, states/eV/f.u.: 14.2
ρ, g/cm3: 8.01
Total magnetic moment, μB/f.u.: 0.0
DFT total energy, eV/f.u.: -34.92
SG: Pmmn

Geometry as CIF:
```
data_Ac4Pm3Ho
_cell_length_a 5.420
_cell_length_b 10.833
_cell_length_c 10.643
_cell_angle_alpha 90.00
_cell_angle_beta 90.00
_cell_angle_gamma 90.00
_space_group_name_H-M_alt 'P 1'
_space_group_IT_number 1
loop_
_space_group_symop_operation_xyz
'x,y,z'
loop_
_atom_site_label
_atom_site_type_symbol
_atom_site_fract_x
_atom_site_fract_y
_atom_site_fract_z
Ac1 Ac 0.250 0.001 0.138
Ac2 Ac 0.250 0.250 0.863
Ac3 Ac 0.250 0.499 0.138
Ac4 Ac 0.250 0.750 0.862
Ac5 Ac 0.750 0.250 0.138
Ac6 Ac 0.750 0.501 0.862
Ac7 Ac 0.750 0.750 0.137
Ac8 Ac 0.750 0.999 0.862
Pm1 Pm 0.250 0.000 0.612
Pm2 Pm 0.250 0.500 0.612
Pm3 Pm 0.250 0.750 0.389
Pm4 Pm 0.750 0.000 0.388
Pm5 Pm 0.750 0.250 0.611
Pm6 Pm 0.750 0.500 0.388
Ho1 Ho 0.250 0.250 0.388
Ho2 Ho 0.750 0.750 0.612
```

Q: Which of these has the highest DFT total energy?
A: AcZnGa2

Q: Among the records above, which one has the highest ρ?
A: Zr5Pb4

Q: Which of these has the highest ρ?
A: Zr5Pb4

Copy entry 1 word for word.
This record from Alexandria describes AcZnGa2 after structural relaxation. The functional is GGA-PBE.

Density of states at the Fermi level, states/eV/f.u.: 3.8
ρ, g/cm3: 7.28
Distance to the lowest polymorph of the same formula, eV/atom: 0.299
Total magnetic moment, μB/f.u.: 0.0
DFT total energy, eV/f.u.: -12.34
SG: P4/mmm

Geometry as CIF:
```
data_AcZnGa2
_cell_length_a 4.619
_cell_length_b 4.619
_cell_length_c 4.620
_cell_angle_alpha 90.00
_cell_angle_beta 90.00
_cell_angle_gamma 90.00
_space_group_name_H-M_alt 'P 1'
_space_group_IT_number 1
loop_
_space_group_symop_operation_xyz
'x,y,z'
loop_
_atom_site_label
_atom_site_type_symbol
_atom_site_fract_x
_atom_site_fract_y
_atom_site_fract_z
Ac1 Ac 0.000 0.000 0.000
Zn1 Zn 0.500 0.500 0.000
Ga1 Ga 0.000 0.500 0.500
Ga2 Ga 0.500 0.000 0.500
```